(1)
{"formula": "TlAgAs2", "functional": "PBE-GGA", "state": "optimized geometry", "crystal_system": "tetragonal", "formation_energy_ev_per_atom": 0.32, "spacegroup": "P4/mmm", "e_above_lowest_polymorph_ev_per_atom": 0.194, "cell": [[4.182, 0.000, 0.000], [0.000, 4.182, 0.000], [0.000, 0.000, 5.033]], "species": ["Tl", "Ag", "As", "As"], "frac_coords": [[0.000, 0.000, 0.000], [0.500, 0.500, 0.000], [0.000, 0.500, 0.500], [0.500, 0.000, 0.500]]}

---

(2)
{"formula": "K2RbU2O7", "functional": "PBE-GGA", "state": "optimized geometry", "e_form_raw_ev_per_atom": -2.75, "crystal_system": "tetragonal", "spacegroup": "I4/mmm", "cell": [[-2.177, 2.177, 11.120], [2.177, -2.177, 11.120], [2.177, 2.177, -11.120]], "species": ["K", "K", "Rb", "U", "U", "O", "O", "O", "O", "O", "O", "O"], "frac_coords": [[0.192, 0.192, 0.000], [0.808, 0.808, 0.000], [0.000, 0.000, 0.000], [0.402, 0.402, 0.000], [0.598, 0.598, 0.000], [0.097, 0.597, 0.500], [0.314, 0.314, 0.000], [0.403, 0.903, 0.500], [0.500, 0.500, 0.000], [0.597, 0.097, 0.500], [0.686, 0.686, 0.000], [0.903, 0.403, 0.500]]}

---

(3)
{"formula": "ScH", "functional": "PBE-GGA", "state": "optimized geometry", "total_energy_ev_per_atom": -5.25, "crystal_system": "hexagonal", "spacegroup": "P6_3/mmc", "cell": [[3.326, 0.000, 0.000], [-1.663, 2.881, 0.000], [0.000, 0.000, 4.977]], "species": ["Sc", "Sc", "H", "H"], "frac_coords": [[0.333, 0.667, 0.250], [0.667, 0.333, 0.750], [0.000, 0.000, 0.000], [0.000, 0.000, 0.500]]}

---

(4)
{"formula": "Zr2AlSe", "functional": "PBE-GGA", "state": "optimized geometry", "e_form_raw_ev_per_atom": 0.19, "crystal_system": "tetragonal", "spacegroup": "I-42d", "e_above_lowest_polymorph_ev_per_atom": 0.882, "cell": [[5.904, 0.000, 0.000], [0.000, 5.904, 0.000], [0.000, 0.000, 13.270]], "species": ["Zr", "Zr", "Zr", "Zr", "Zr", "Zr", "Zr", "Zr", "Al", "Al", "Al", "Al", "Se", "Se", "Se", "Se"], "frac_coords": [[0.242, 0.250, 0.125], [0.250, 0.742, 0.375], [0.250, 0.758, 0.875], [0.258, 0.250, 0.625], [0.742, 0.750, 0.625], [0.750, 0.242, 0.875], [0.750, 0.258, 0.375], [0.758, 0.750, 0.125], [0.000, 0.000, 0.500], [0.000, 0.500, 0.750], [0.500, 0.000, 0.250], [0.500, 0.500, 0.000], [0.000, 0.000, 0.000], [0.000, 0.500, 0.250], [0.500, 0.000, 0.750], [0.500, 0.500, 0.500]]}

---

(5)
{"formula": "ReSbPb", "functional": "PBE-GGA", "state": "optimized geometry", "e_form_raw_ev_per_atom": 0.76, "crystal_system": "cubic", "spacegroup": "F-43m", "e_above_lowest_polymorph_ev_per_atom": 0.266, "cell": [[6.605, 0.000, 0.000], [0.000, 6.605, 0.000], [0.000, 0.000, 6.605]], "species": ["Re", "Re", "Re", "Re", "Sb", "Sb", "Sb", "Sb", "Pb", "Pb", "Pb", "Pb"], "frac_coords": [[0.000, 0.000, 0.000], [0.000, 0.500, 0.500], [0.500, 0.000, 0.500], [0.500, 0.500, 0.000], [0.250, 0.250, 0.750], [0.250, 0.750, 0.250], [0.750, 0.250, 0.250], [0.750, 0.750, 0.750], [0.250, 0.250, 0.250], [0.250, 0.750, 0.750], [0.750, 0.250, 0.750], [0.750, 0.750, 0.250]]}

---

(6)
{"formula": "La3Dy3Tl2", "functional": "PBE-GGA", "state": "optimized geometry", "crystal_system": "orthorhombic", "formation_energy_ev_per_atom": -0.12, "spacegroup": "Cmcm", "e_above_lowest_polymorph_ev_per_atom": 0.010, "cell": [[2.590, -6.060, 0.000], [2.590, 6.060, 0.000], [0.000, 0.000, 16.892]], "species": ["La", "La", "La", "La", "La", "La", "Dy", "Dy", "Dy", "Dy", "Dy", "Dy", "Tl", "Tl", "Tl", "Tl"], "frac_coords": [[0.049, 0.951, 0.605], [0.049, 0.951, 0.895], [0.292, 0.708, 0.750], [0.708, 0.292, 0.250], [0.951, 0.049, 0.105], [0.951, 0.049, 0.395], [0.366, 0.634, 0.543], [0.366, 0.634, 0.957], [0.426, 0.574, 0.250], [0.574, 0.426, 0.750], [0.634, 0.366, 0.043], [0.634, 0.366, 0.457], [0.238, 0.762, 0.121], [0.238, 0.762, 0.379], [0.762, 0.238, 0.621], [0.762, 0.238, 0.879]]}

---

(7)
{"formula": "Na2Bi2C4SO16", "functional": "PBE-GGA", "state": "optimized geometry", "e_form_raw_ev_per_atom": -1.29, "crystal_system": "orthorhombic", "spacegroup": "Fddd", "cell": [[0.000, 7.260, 7.713], [7.238, 0.000, 7.713], [7.238, 7.260, 0.000]], "species": ["Na", "Na", "Na", "Na", "Bi", "Bi", "Bi", "Bi", "C", "C", "C", "C", "C", "C", "C", "C", "S", "S", "O", "O", "O", "O", "O", "O", "O", "O", "O", "O", "O", "O", "O", "O", "O", "O", "O", "O", "O", "O", "O", "O", "O", "O", "O", "O", "O", "O", "O", "O", "O", "O"], "frac_coords": [[0.079, 0.671, 0.079], [0.329, 0.921, 0.329], [0.671, 0.079, 0.671], [0.921, 0.329, 0.921], [0.000, 0.500, 0.500], [0.500, 0.000, 0.500], [0.500, 0.500, 0.000], [0.500, 0.500, 0.500], [0.267, 0.656, 0.289], [0.288, 0.289, 0.656], [0.289, 0.288, 0.267], [0.344, 0.733, 0.712], [0.656, 0.267, 0.288], [0.711, 0.712, 0.733], [0.712, 0.711, 0.344], [0.733, 0.344, 0.711], [0.125, 0.125, 0.125], [0.875, 0.875, 0.875], [0.063, 0.299, 0.069], [0.069, 0.069, 0.063], [0.069, 0.069, 0.299], [0.143, 0.653, 0.408], [0.156, 0.298, 0.667], [0.160, 0.411, 0.278], [0.278, 0.651, 0.160], [0.295, 0.408, 0.653], [0.298, 0.156, 0.379], [0.299, 0.063, 0.069], [0.333, 0.621, 0.844], [0.347, 0.857, 0.705], [0.349, 0.722, 0.589], [0.379, 0.667, 0.298], [0.408, 0.295, 0.143], [0.411, 0.160, 0.651], [0.589, 0.840, 0.349], [0.592, 0.705, 0.857], [0.621, 0.333, 0.702], [0.651, 0.278, 0.411], [0.653, 0.143, 0.295], [0.667, 0.379, 0.156], [0.701, 0.937, 0.931], [0.702, 0.844, 0.621], [0.705, 0.592, 0.347], [0.722, 0.349, 0.840], [0.840, 0.589, 0.722], [0.844, 0.702, 0.333], [0.857, 0.347, 0.592], [0.931, 0.931, 0.701], [0.931, 0.931, 0.937], [0.937, 0.701, 0.931]]}

---

(8)
{"formula": "MgTePb2", "functional": "PBE-GGA", "state": "optimized geometry", "e_form_raw_ev_per_atom": -0.02, "crystal_system": "trigonal", "spacegroup": "R-3m", "e_above_lowest_polymorph_ev_per_atom": 0.176, "cell": [[4.143, 0.000, 0.000], [-2.072, 3.588, 0.000], [0.000, 0.000, 25.644]], "species": ["Mg", "Mg", "Mg", "Te", "Te", "Te", "Pb", "Pb", "Pb", "Pb", "Pb", "Pb"], "frac_coords": [[0.000, 0.000, 0.000], [0.333, 0.667, 0.667], [0.667, 0.333, 0.333], [0.000, 0.000, 0.500], [0.333, 0.667, 0.167], [0.667, 0.333, 0.833], [0.000, 0.000, 0.248], [0.000, 0.000, 0.752], [0.333, 0.667, 0.419], [0.333, 0.667, 0.915], [0.667, 0.333, 0.085], [0.667, 0.333, 0.581]]}

---

Calculated values (μB per formula unit) of size of the total moment for the records, taken in order: 0.0; 1.0; 0.0; 0.0; 0.0; 0.0; 1.9; 0.0.
Calculated values (states/eV/cell) of density of states at the Fermi level for the records, taken in order: 2.1; 7.2; 1.6; 15.9; 18.1; 24.0; 31.8; 5.0.